{"formula": "TbScTlGa", "functional": "PBE", "state": "relaxed", "lattice_angstrom": [[5.0979, 0.0000, 0.0000], [2.5490, 4.4149, 0.0000], [2.5490, 1.4716, 4.1624]], "species": ["Ga", "Tl", "Tb", "Sc"], "fractional_positions": [[0.2500, 0.2500, 0.2500], [0.7500, 0.7500, 0.7500], [0.5000, 0.5000, 0.5000], [0.0000, 0.0000, 0.0000]], "formation_enthalpy_0k_mev_per_atom": -402, "volume_a3_per_cell": 93.7, "final_energy_ev_per_atom": -4.490}